Entry from Alexandria via LeMat-Bulk: a relaxed structure of Cs2KZnAu (PBE).

```
data_Cs2KZnAu
_chemical_formula_sum 'Cs2 K1 Zn1 Au1'
_symmetry_space_group_name_H-M 'P 4/m m m'
_symmetry_Int_Tables_number 123
_symmetry_space_group_name_Hall '-P 4 2'
_cell_length_a 7.158
_cell_length_b 7.158
_cell_length_c 5.211
_cell_angle_alpha 90.00
_cell_angle_beta 90.00
_cell_angle_gamma 90.00
loop_
_atom_site_label
_atom_site_fract_x
_atom_site_fract_y
_atom_site_fract_z
Cs1 0.000 0.500 0.000
K1 0.000 0.000 0.500
Zn1 0.500 0.500 0.500
Au1 0.500 0.500 0.000
```

Results
For the raw total energy, the calculation gives -7.60 eV per cell. Its energy relative to the lowest polymorph listed for this composition is 0 kJ/mol of formula units. Its formation energy is -0.0483 eV/atom. For the density of states at the Fermi level, the calculation gives 3.52 states/eV per cell.

Entry from Alexandria via LeMat-Bulk: a relaxed structure of KOs2Cl (PBE).

```
data_KOs2Cl
_chemical_formula_sum 'K4 Os8 Cl4'
_symmetry_space_group_name_H-M 'F m -3 m'
_symmetry_Int_Tables_number 225
_symmetry_space_group_name_Hall '-F 4 2 3'
_cell_length_a 6.580
_cell_length_b 6.580
_cell_length_c 6.580
_cell_angle_alpha 90.00
_cell_angle_beta 90.00
_cell_angle_gamma 90.00
loop_
_atom_site_label
_atom_site_fract_x
_atom_site_fract_y
_atom_site_fract_z
K1 0.000 0.000 0.000
Os1 0.250 0.250 0.250
Cl1 0.000 0.000 0.500
```

Results
The value obtained for the formation energy without anion corrections is 2.57 eV/atom. For the raw total energy, the calculation gives -60.46 eV per cell. Its energy relative to the lowest polymorph listed for this composition is 894 kJ/mol of formula units. For the density of states at the Fermi level, the calculation gives 23.17 states/eV per cell.

Entry from Alexandria via LeMat-Bulk: a relaxed structure of MgAlMo2 (PBE).

```
data_MgAlMo2
_chemical_formula_sum 'Mg2 Al2 Mo4'
_symmetry_space_group_name_H-M 'I m m 2'
_symmetry_Int_Tables_number 44
_cell_length_a 3.434
_cell_length_b 4.518
_cell_length_c 8.417
_cell_angle_alpha 90.00
_cell_angle_beta 90.00
_cell_angle_gamma 90.00
loop_
_symmetry_equiv_pos_as_xyz
'x,y,z'
'-x,-y,z'
'-x,y,z'
'x,-y,z'
'x+1/2,y+1/2,z+1/2'
'-x+1/2,-y+1/2,z+1/2'
'-x+1/2,y+1/2,z+1/2'
'x+1/2,-y+1/2,z+1/2'
loop_
_atom_site_label
_atom_site_fract_x
_atom_site_fract_y
_atom_site_fract_z
Mg1 0.000 0.000 0.000
Al1 0.000 0.500 0.240
Mo1 0.000 0.000 0.486
Mo2 0.000 0.500 0.762
```

Results
For the raw total energy, the calculation gives -53.27 eV per cell. Its energy relative to the lowest polymorph listed for this composition is 32 kJ/mol of formula units. Its formation energy is 0.0910 eV/atom. For the density of states at the Fermi level, the calculation gives 4.12 states/eV per cell.